The following is a PBE calculation of a geometry-optimized LiTcTeI2 structure, from Alexandria via LeMat-Bulk.

As for the distance to the lowest polymorph of the same formula: 0 meV/atom. Its uncorrected formation energy is 100 meV/atom. The magnetization is 0.24 μB/atom.

It has space group P4/mmm (No. 123), with a = 5.782 Å, b = 5.782 Å, c = 5.049 Å, α = 90.00°, β = 90.00° and γ = 90.00°. The inequivalent atoms are Li at (0.000, 0.000, 0.000), Tc at (0.500, 0.500, 0.500), Te at (0.500, 0.500, 0.000) and I at (0.000, 0.500, 0.500).